A | A plane-wave DFT calculation with PBE-GGA was carried out for crystalline Er3Lu at its relaxed geometry. Values from VASP.

Results
SG = No. 194
crystal system = hexagonal
size of the total moment = 0.0 μB per formula unit

The structure in Quantum ESPRESSO input format:
```
&SYSTEM
  ibrav = 0, nat = 8, ntyp = 2
/
ATOMIC_SPECIES
Er 167.26 Er.upf
Lu 174.97 Lu.upf
CELL_PARAMETERS angstrom
7.116 0.000 0.000
-3.558 6.163 0.000
0.000 0.000 5.533
ATOMIC_POSITIONS crystal
Er 0.167 0.334 0.250
Er 0.167 0.833 0.250
Er 0.334 0.167 0.750
Er 0.666 0.833 0.250
Er 0.833 0.167 0.750
Er 0.833 0.666 0.750
Lu 0.333 0.667 0.750
Lu 0.667 0.333 0.250
```

B | A plane-wave DFT calculation with PBE-GGA was carried out for crystalline Er3Lu at its relaxed geometry. Values from VASP.

Results
SG = No. 139
crystal system = tetragonal
size of the total moment = 0.0 μB per formula unit

The structure in Quantum ESPRESSO input format:
```
&SYSTEM
  ibrav = 0, nat = 8, ntyp = 2
/
ATOMIC_SPECIES
Er 167.26 Er.upf
Lu 174.97 Lu.upf
CELL_PARAMETERS angstrom
4.928 0.000 0.000
0.000 4.928 0.000
0.000 0.000 9.860
ATOMIC_POSITIONS crystal
Er 0.000 0.000 0.000
Er 0.000 0.500 0.250
Er 0.000 0.500 0.750
Er 0.500 0.000 0.250
Er 0.500 0.000 0.750
Er 0.500 0.500 0.500
Lu 0.000 0.000 0.500
Lu 0.500 0.500 0.000
```

C | A plane-wave DFT calculation with PBE-GGA was carried out for crystalline Er3Lu at its relaxed geometry. Values from VASP.

Results
SG = No. 225
crystal system = cubic
size of the total moment = 0.1 μB per formula unit

The structure in Quantum ESPRESSO input format:
```
&SYSTEM
  ibrav = 0, nat = 16, ntyp = 2
/
ATOMIC_SPECIES
Er 167.26 Er.upf
Lu 174.97 Lu.upf
CELL_PARAMETERS angstrom
7.877 0.000 0.000
0.000 7.877 0.000
0.000 0.000 7.877
ATOMIC_POSITIONS crystal
Er 0.000 0.000 0.000
Er 0.000 0.500 0.500
Er 0.250 0.250 0.250
Er 0.250 0.250 0.750
Er 0.250 0.750 0.250
Er 0.250 0.750 0.750
Er 0.500 0.000 0.500
Er 0.500 0.500 0.000
Er 0.750 0.250 0.250
Er 0.750 0.250 0.750
Er 0.750 0.750 0.250
Er 0.750 0.750 0.750
Lu 0.000 0.000 0.500
Lu 0.000 0.500 0.000
Lu 0.500 0.000 0.000
Lu 0.500 0.500 0.500
```

We find A to be the most stable, with the next structure 28 meV per atom higher.

A | A plane-wave DFT calculation with PBE-GGA was carried out for crystalline Er3Lu at its relaxed geometry. Values from VASP.

Results
SG = No. 221
crystal system = cubic
size of the total moment = 0.0 μB per formula unit

The structure in Quantum ESPRESSO input format:
```
&SYSTEM
  ibrav = 0, nat = 4, ntyp = 2
/
ATOMIC_SPECIES
Er 167.26 Er.upf
Lu 174.97 Lu.upf
CELL_PARAMETERS angstrom
4.929 0.000 0.000
0.000 4.929 0.000
0.000 0.000 4.929
ATOMIC_POSITIONS crystal
Er 0.000 0.000 0.500
Er 0.000 0.500 0.000
Er 0.500 0.000 0.000
Lu 0.500 0.500 0.500
```

B | A plane-wave DFT calculation with PBE-GGA was carried out for crystalline Er3Lu at its relaxed geometry. Values from VASP.

Results
SG = No. 44
crystal system = orthorhombic
size of the total moment = 0.0 μB per formula unit

The structure in Quantum ESPRESSO input format:
```
&SYSTEM
  ibrav = 0, nat = 8, ntyp = 2
/
ATOMIC_SPECIES
Er 167.26 Er.upf
Lu 174.97 Lu.upf
CELL_PARAMETERS angstrom
3.563 0.000 0.000
0.000 11.051 0.000
0.000 0.000 6.165
ATOMIC_POSITIONS crystal
Er 0.000 0.000 0.000
Er 0.000 0.249 0.333
Er 0.000 0.751 0.333
Er 0.500 0.251 0.833
Er 0.500 0.500 0.500
Er 0.500 0.749 0.833
Lu 0.000 0.500 0.001
Lu 0.500 0.000 0.501
```

We find B to be the most stable, with the next structure 31 meV per atom higher.